No. 1
Computed, not measured: a relaxed CrHSe2 crystal at the PBE level of DFT.

Cell lengths 7.9113, 7.9113, 7.9113 Å; angles 22.37, 22.37, 22.37 degrees
With the nearest neighbours (Å) after each atom.
Sites, in units of the cell vectors:
H 0.5000 0.5000 0.5000  6 Se 2.30
Cr 0.0000 0.0000 0.0000  2 Se 2.39
Se 0.8966 0.8966 0.8966  3 H 2.30, 1 Cr 2.39
Se 0.1034 0.1034 0.1034  3 H 2.30, 1 Cr 2.39

**Electronic total energy**: -16.81 eV for the cell shown
**Energy above the lowest structure with this stoichiometry**: 1.1193 eV per atom
**DOS at the Fermi energy**: 2.9 states/eV per cell

No. 2
Computed, not measured: a relaxed Ac4Sb3Te crystal at the PBE level of DFT.

Cell lengths 4.7842, 6.7638, 9.5724 Å; angles 90.00, 90.00, 90.00 degrees
With the nearest neighbours (Å) after each atom.
Sites, in units of the cell vectors:
Ac 0.0000 0.5000 0.0000  4 Sb 3.37, 2 Te 3.38
Ac 0.5000 0.0000 0.2576  4 Sb 3.33-3.38, 2 Te 3.44
Ac 0.5000 0.0000 0.7424  4 Sb 3.33-3.38, 2 Te 3.44
Ac 0.0000 0.5000 0.5000  6 Sb 3.38-3.40
Sb 0.0000 0.0000 0.5000  6 Ac 3.33-3.38
Sb 0.5000 0.5000 0.2476  6 Ac 3.37-3.40
Sb 0.5000 0.5000 0.7524  6 Ac 3.37-3.40
Te 0.0000 0.0000 0.0000  6 Ac 3.38-3.44

**Electronic total energy**: -42.56 eV for the cell shown
**Energy above the lowest structure with this stoichiometry**: 0.0000 eV per atom
**Uncorrected formation energy**: -1.327 eV/atom
**DOS at the Fermi energy**: 2.6 states/eV per cell

Q: Number 2 is which compound?
A: Ac4Sb3Te